# 1
A geometry-optimized LaTaCo2 structure, computed with PBE-GGA.

The structure in POSCAR format:
```
LaTaCo2
1.0
-0.2956 -3.0323 -1.1597
2.7553 0.3816 -1.7000
3.6540 -2.4139 5.3804
Co La Ta
2 1 1
Cartesian
3.6181 -2.3902 5.3274 Co
1.9381 -1.7932 -0.3871 Co
1.6857 -1.1136 2.4821 La
4.3530 -3.3886 3.1688 Ta
```

Computed properties:
SG ... P4mm (99)
M_tot ... 0.1494 μB per atom
E above lowest polymorph ... 329 meV per atom
E_form ... 1.0 eV/f.u.
Calculated volume ... 18.43 Å³/atom


# 2
A geometry-optimized MgTc2Sb structure, computed with PBE-GGA.

The structure in POSCAR format:
```
MgTc2Sb
1.0
-2.1160 -8.2787 1.7374
0.8518 -8.6240 0.9662
0.0893 -7.8245 3.8474
Sb Mg Tc
1 1 2
Cartesian
-0.8812 -18.5454 4.9133 Sb
-0.2937 -6.1818 1.6378 Mg
-0.5824 -12.2574 3.2474 Tc
-0.0050 -0.1062 0.0281 Tc
```

Computed properties:
SG ... R-3m (166)
Formation energy (no corrections) ... 0.388 eV per atom
M_tot ... 0.0001 μB per atom
E above lowest polymorph ... 341 meV per atom
Calculated volume ... 17.60 Å³/atom


# 3
A geometry-optimized PmLuMgTl structure, computed with PBE-GGA.

The structure in POSCAR format:
```
PmLuMgTl
1.0
-0.4488 1.0056 5.2431
3.0127 -2.6994 3.5129
3.9670 2.4926 2.5987
Lu Tl Pm Mg
1 1 1 1
Cartesian
0.0000 0.0000 0.0000 Lu
1.6327 0.1997 2.8387 Tl
3.2654 0.3994 5.6774 Pm
4.8981 0.5991 8.5161 Mg
```

Computed properties:
SG ... F-43m (216)
M_tot ... 0.0002 μB per atom
E_form ... -0.9 eV/f.u.
Calculated volume ... 27.18 Å³/atom


# 4
A geometry-optimized MnP2Br structure, computed with PBE-GGA.

The structure in POSCAR format:
```
MnP2Br
1.0
-0.1299 1.8008 4.2340
-3.8954 -2.2853 -0.8742
-0.5219 -3.4436 2.9993
Br Mn P
1 1 2
Cartesian
-2.2086 -2.8644 1.0625 Br
-2.0127 -0.2422 1.6799 Mn
0.0000 0.0000 0.0000 P
-0.3259 -0.8214 3.6166 P
```

Computed properties:
SG ... I4/mmm (139)
Formation energy (no corrections) ... 0.423 eV per atom
M_tot ... 1.0832 μB per atom
E above lowest polymorph ... 492 meV per atom
Calculated volume ... 18.72 Å³/atom


# 5
A geometry-optimized CsUCdI6 structure, computed with PBE-GGA.

The structure in POSCAR format:
```
CsUCdI6
1.0
-2.2567 -7.7589 0.3797
0.6577 -4.7270 -6.5312
7.8163 -2.1588 2.3473
I U Cs Cd
6 1 1 1
Cartesian
5.9542 -4.4923 -2.3636 I
1.8120 -6.4707 -3.2135 I
4.4129 -8.1121 -0.5613 I
2.4941 -2.4450 -1.7849 I
4.7105 -4.4863 1.7811 I
0.8665 -5.4393 0.8802 I
2.8413 -9.4031 -2.9274 U
5.5595 -9.9174 2.7269 Cs
3.3765 -5.2423 -0.8766 Cd
```

Computed properties:
SG ... P312 (149)
Formation energy (no corrections) ... -0.896 eV per atom
M_tot ... 0.3360 μB per atom
Calculated volume ... 53.16 Å³/atom


# 6
A geometry-optimized AlGaPb2 structure, computed with PBE-GGA.

The structure in POSCAR format:
```
AlGaPb2
1.0
3.7763 0.0000 0.0000
0.0000 3.7763 0.0000
0.0000 0.0000 7.1461
Pb Ga Al
2 1 1
Cartesian
0.0000 0.0000 1.7356 Pb
0.0000 0.0000 5.4105 Pb
1.8882 1.8882 3.5730 Ga
1.8882 1.8882 0.0000 Al
```

Computed properties:
SG ... P4/mmm (123)
M_tot ... 0.0000 μB per atom
E above lowest polymorph ... 0 meV per atom
E_form ... 0.7 eV/f.u.
Calculated volume ... 25.48 Å³/atom